Compound: AcHg2PdO4
Source: the Alexandria database
Functional: PBE
Structure: optimized geometry

Output
- formation energy from raw total energies (eV per formula unit) = -7.7
- symmetry = I222

abc: 6.677 5.754 5.754
angles: 69.68 54.53 54.53
Each line ends with the local moment (μB).
Fractional positions:
Hg: 0.500 0.249 0.751  0.00
Hg: 0.500 0.751 0.249  0.00
Ac: 0.000 0.000 0.000  0.00
Pd: 0.000 0.500 0.500  0.66
O: 0.660 0.395 0.848  0.07
O: 0.903 0.605 0.152  0.07
O: 0.340 0.152 0.605  0.07
O: 0.097 0.848 0.395  0.07

Compound: CsBi2C2
Source: the Alexandria database
Functional: PBE
Structure: optimized geometry

Output
- offset from the most stable computed form (meV/atom) = 94
- symmetry = I4/mmm
- formation energy (eV per atom) = 1.19

abc: 4.485 4.485 7.212
angles: 71.89 71.89 90.00
Fractional positions:
C: 0.250 0.750 0.500
C: 0.750 0.250 0.500
Bi: 0.678 0.678 0.643
Bi: 0.322 0.322 0.357
Cs: 0.000 0.000 0.000

Compound: CuOsI2O
Source: the Alexandria database
Functional: PBE
Structure: optimized geometry

Output
- offset from the most stable computed form (meV/atom) = 741
- formation energy from raw total energies (eV per formula unit) = 5.0
- symmetry = P4/mmm

abc: 5.331 5.331 3.458
angles: 90.00 90.00 90.00
Each line ends with the local moment (μB).
Fractional positions:
I: 0.500 0.000 0.000  0.02
I: 0.000 0.500 0.000  0.02
Cu: 0.000 0.000 0.000  0.18
Os: 0.500 0.500 0.500  0.08
O: 0.000 0.000 0.500  0.27

Compound: Y4SiSe2Cl
Source: the Alexandria database
Functional: PBE
Structure: optimized geometry

Output
- formation energy from raw total energies (eV per formula unit) = -11.7
- symmetry = P2/m

abc: 4.083 7.059 7.128
angles: 70.98 90.00 90.00
Fractional positions:
Se: 0.000 0.000 0.000
Se: 0.500 0.000 0.500
Cl: 0.500 0.500 0.000
Y: 0.000 0.754 0.726
Y: 0.500 0.262 0.729
Y: 0.000 0.246 0.274
Y: 0.500 0.738 0.271
Si: 0.000 0.500 0.500

Compound: Cr4Te3Se
Source: the Alexandria database
Functional: PBE
Structure: optimized geometry

Output
- formation energy from raw total energies (eV per formula unit) = -0.8
- symmetry = P-6m2

abc: 4.037 4.037 12.618
angles: 90.00 90.00 120.00
Each line ends with the local moment (μB).
Fractional positions:
Te: 0.667 0.333 0.500  -0.11
Te: 0.333 0.667 0.755  -0.12
Te: 0.333 0.667 0.245  -0.12
Cr: 0.000 0.000 0.883  3.67
Cr: 0.000 0.000 0.628  3.60
Cr: 0.000 0.000 0.372  3.60
Cr: 0.000 0.000 0.117  3.67
Se: 0.667 0.333 0.000  -0.09

Compound: TcNCl2
Source: the Alexandria database
Functional: PBE
Structure: optimized geometry

Output
- offset from the most stable computed form (meV/atom) = 241
- formation energy from raw total energies (eV per formula unit) = 6.4
- symmetry = I-42d

abc: 6.006 6.006 5.690
angles: 58.14 58.14 90.00
Fractional positions:
Tc: 0.750 0.250 0.500
Tc: 0.000 0.000 0.000
Cl: 0.375 0.365 0.750
Cl: 0.115 0.625 0.250
Cl: 0.635 0.125 0.250
Cl: 0.875 0.885 0.750
N: 0.250 0.750 0.500
N: 0.500 0.500 0.000

Compound: Ac3Sn2HgPd9
Source: the Alexandria database
Functional: PBE
Structure: optimized geometry

Output
- symmetry = P-3m1
- formation energy (eV per atom) = -0.54

abc: 5.907 5.907 12.613
angles: 90.00 90.00 120.00
Fractional positions:
Pd: 0.681 0.840 0.320
Pd: 0.319 0.160 0.680
Pd: 0.160 0.319 0.320
Pd: 0.160 0.840 0.320
Pd: 0.500 0.000 0.000
Pd: 0.840 0.681 0.680
Pd: 0.500 0.500 0.000
Pd: 0.000 0.500 0.000
Pd: 0.840 0.160 0.680
Ac: 0.667 0.333 0.254
Ac: 0.000 0.000 0.000
Ac: 0.333 0.667 0.746
Sn: 0.667 0.333 0.836
Sn: 0.333 0.667 0.164
Hg: 0.000 0.000 0.500

Listing calculated volume for the structures above in their given order: 18.325, 26.052, 19.655, 24.280, 22.262, 17.074, 25.413 Å³ per atom.